Entry 1:
Computed, not measured: an optimized crystal structure of CaTa2Mn at the GGA-PBE level of DFT.

```
8
Lattice="3.052 0.000 0.000 0.000 5.061 0.000 0.000 0.000 9.827" Properties=species:S:1:pos:R:3 pbc="T T T"
Ca 0.000 0.000 0.000
Ca 1.526 2.530 4.914
Ta 0.000 2.530 2.019
Ta 0.000 2.530 7.808
Ta 1.526 0.000 2.894
Ta 1.526 0.000 6.933
Mn 0.000 0.000 4.914
Mn 1.526 2.530 0.000
```

Summary:
Formation energy: 457.2 meV per atom

***

Entry 2:
Computed, not measured: an optimized crystal structure of U3Tl3CoSe8 at the GGA-PBE level of DFT.

```
15
Lattice="3.985 2.301 8.032 -3.985 2.301 8.032 0.000 -4.601 8.032" Properties=species:S:1:pos:R:3 pbc="T T T"
U -1.992 -1.150 8.032
U -1.992 1.150 16.065
U 0.000 2.301 8.032
Tl -3.985 0.000 12.048
Tl -1.992 1.150 4.016
Tl 1.992 1.150 4.016
Co 0.000 0.000 0.000
Se 0.000 -2.421 9.576
Se -2.097 1.211 9.576
Se -2.097 -1.211 14.521
Se 0.000 0.000 6.338
Se 0.000 0.000 17.759
Se 2.097 1.211 9.576
Se 2.097 -1.211 14.521
Se 0.000 2.421 14.521
```

Summary:
E_form (uncorrected): -0.76 eV/atom

***

Number 1: D(E_F) 0.95 states/eV per atom. Number 2: D(E_F) 1.27 states/eV per atom.